Entry from Alexandria via LeMat-Bulk: a crystal of FeHgTe2 relaxed with PBEsol (SCAN).

Values from the calculation:
- V (Å³/atom) = 23.95
- spin magnetization (μB/cell) = 3.128
- density of states at the Fermi level (states/eV/atom) = 0.5513
- raw formation energy (eV per formula unit) = 1.15
- symmetry = No. 12
- calculated total energy (eV per atom) = -39.91

a = 5.075 Å, b = 5.075 Å, c = 4.278 Å
α = 104.75°, β = 104.75°, γ = 106.23°
Fractional positions:
Fe: 0.000 0.000 0.000
Hg: 0.500 0.500 0.000
Te: 0.000 0.500 0.500
Te: 0.500 0.000 0.500